First-principles (GGA-PBE) data for a geometry-optimized YTe structure, as listed in Alexandria.

Summary:
density of states at the Fermi level = 15.95 states/eV/cell
total energy = -5.532 eV per atom
ρ = 3.6 g cm⁻³
total magnetic moment = 0.000 μB/f.u.

```
12
Lattice="8.449 0.000 0.000 0.000 8.449 0.000 0.000 0.000 8.449" Properties=species:S:1:pos:R:3 pbc="T T T"
Y 0.000 2.112 4.225
Y 0.000 6.337 4.225
Y 2.112 4.225 0.000
Y 4.225 0.000 2.112
Y 4.225 0.000 6.337
Y 6.337 4.225 0.000
Te 0.000 4.225 2.112
Te 0.000 4.225 6.337
Te 2.112 0.000 4.225
Te 4.225 2.112 0.000
Te 4.225 6.337 0.000
Te 6.337 0.000 4.225
```

First-principles (GGA-PBE) data for a geometry-optimized Dy6Si2BiSe3 structure, as listed in Alexandria.

Summary:
density of states at the Fermi level = 2.31 states/eV/cell
total energy = -5.703 eV per atom
ρ = 7.9 g cm⁻³
total magnetic moment = 0.000 μB/f.u.

```
12
Lattice="9.089 -2.085 0.000 9.089 2.085 0.000 -1.857 0.000 8.187" Properties=species:S:1:pos:R:3 pbc="T T T"
Dy -0.361 0.000 2.177
Dy 4.284 0.000 7.335
Dy 5.190 0.000 3.469
Dy 11.132 0.000 4.718
Dy 12.038 0.000 0.853
Dy 16.683 0.000 6.010
Si 2.422 0.000 2.754
Si 13.899 0.000 5.433
Bi 9.089 0.000 0.000
Se 1.430 0.000 6.831
Se 8.161 0.000 4.094
Se 14.891 0.000 1.356
```

First-principles (GGA-PBE) data for a geometry-optimized ZrMnFeSb structure, as listed in Alexandria.

Summary:
total energy = -7.727 eV per atom
ρ = 8.8 g cm⁻³
total magnetic moment = 0.000 μB/f.u.

```
16
Lattice="6.242 0.000 0.000 0.000 6.242 0.000 0.000 0.000 6.242" Properties=species:S:1:pos:R:3 pbc="T T T"
Zr 0.000 0.000 0.000
Zr 0.000 3.121 3.121
Zr 3.121 0.000 3.121
Zr 3.121 3.121 0.000
Mn 1.560 1.560 1.560
Mn 1.560 4.681 4.681
Mn 4.681 1.560 4.681
Mn 4.681 4.681 1.560
Fe 1.560 1.560 4.681
Fe 1.560 4.681 1.560
Fe 4.681 1.560 1.560
Fe 4.681 4.681 4.681
Sb 0.000 0.000 3.121
Sb 0.000 3.121 0.000
Sb 3.121 0.000 0.000
Sb 3.121 3.121 3.121
```

First-principles (GGA-PBE) data for a geometry-optimized GdHoAgRh structure, as listed in Alexandria.

Summary:
density of states at the Fermi level = 14.13 states/eV/cell
total energy = -7.769 eV per atom
energy of formation = -0.554 eV per atom
ρ = 10.0 g cm⁻³
total magnetic moment = 7.230 μB/f.u.

```
16
Lattice="7.075 0.000 0.000 0.000 7.075 0.000 0.000 0.000 7.075" Properties=species:S:1:pos:R:3 pbc="T T T"
Gd 0.000 0.000 0.000
Gd 0.000 3.538 3.538
Gd 3.538 0.000 3.538
Gd 3.538 3.538 0.000
Ho 0.000 0.000 3.538
Ho 0.000 3.538 0.000
Ho 3.538 0.000 0.000
Ho 3.538 3.538 3.538
Ag 1.769 1.769 5.307
Ag 1.769 5.307 1.769
Ag 5.307 1.769 1.769
Ag 5.307 5.307 5.307
Rh 1.769 1.769 1.769
Rh 1.769 5.307 5.307
Rh 5.307 1.769 5.307
Rh 5.307 5.307 1.769
```